[1]
# YIn2As2

An optimized crystal structure of YIn2As2 (PBE-GGA, Alexandria).

The structure in POSCAR format:
```
YIn2As2
1.0
-3.4353 -1.9660 -0.2435
1.5030 -2.9041 2.2434
-3.6244 1.3781 7.7172
In Y As
2 1 2
Direct
0.6077 0.6077 0.7846
0.3923 0.3923 0.2154
0.0000 0.0000 0.0000
0.7500 0.2500 0.5000
0.2500 0.7500 0.5000
```

Values from the calculation:
Space-group type: No. 139
ΔH_f (0 K), eV per atom: -0.010

[2]
# YInAs

An optimized crystal structure of YInAs (PBE-GGA, Alexandria).

The structure in POSCAR format:
```
YInAs
1.0
4.9517 0.0000 0.0000
2.4758 4.2883 0.0000
2.4758 1.4294 4.0430
As In Y
1 1 1
Direct
0.0000 0.0000 0.0000
0.5000 0.5000 0.5000
0.7500 0.7500 0.7500
```

Values from the calculation:
Space-group type: No. 216
ΔH_f (0 K), eV per atom: -0.266

Results for total magnetization: 0.000; 0.000 (in Bohr magnetons per cell, following the order of the records).
Results for calculated volume: 25.69; 28.62 (in Å³/atom, following the order of the records).
Results for final energy: -4.258; -4.883 (in eV per atom, following the order of the records).